# 1
# ZrTi2InH (PBE, optimized geometry)
data_ZrTi2InH
_chemical_formula_sum 'Zr1 Ti2 In1 H1'
_cell_length_a 4.2847
_cell_length_b 4.2847
_cell_length_c 4.2904
_cell_angle_alpha 90.00
_cell_angle_beta 90.00
_cell_angle_gamma 90.00
_space_group_name_H-M_alt 'P 4/m m m'
_space_group_IT_number 123
_space_group_name_Hall '-P 4 2'
loop_
_atom_site_label
_atom_site_type_symbol
_atom_site_fract_x
_atom_site_fract_y
_atom_site_fract_z
Zr1 Zr 0.0000 0.0000 0.0000
Ti1 Ti 0.0000 0.5000 0.5000
In1 In 0.5000 0.5000 0.0000
H1 H 0.0000 0.0000 0.5000
# Energy above the most stable polymorph in this dataset   0.0 meV/atom

# 2
# ZrTi2InH (PBE, optimized geometry)
data_ZrTi2InH
_chemical_formula_sum 'Zr1 Ti2 In1 H1'
_cell_length_a 4.1301
_cell_length_b 4.1301
_cell_length_c 4.7390
_cell_angle_alpha 90.00
_cell_angle_beta 90.00
_cell_angle_gamma 90.00
_space_group_name_H-M_alt 'P 4/m m m'
_space_group_IT_number 123
_space_group_name_Hall '-P 4 2'
loop_
_atom_site_label
_atom_site_type_symbol
_atom_site_fract_x
_atom_site_fract_y
_atom_site_fract_z
Zr1 Zr 0.0000 0.0000 0.0000
Ti1 Ti 0.0000 0.5000 0.5000
In1 In 0.5000 0.5000 0.0000
H1 H 0.5000 0.5000 0.5000
# Energy above the most stable polymorph in this dataset   183.6 meV/atom

# 3
# TlInH2 (PBE, optimized geometry)
data_TlInH2
_chemical_formula_sum 'Tl2 In2 H4'
_cell_length_a 5.3016
_cell_length_b 5.3734
_cell_length_c 6.4924
_cell_angle_alpha 67.75
_cell_angle_beta 89.51
_cell_angle_gamma 61.22
_space_group_name_H-M_alt 'P 1'
_space_group_IT_number 1
_space_group_name_Hall 'P 1'
loop_
_atom_site_label
_atom_site_type_symbol
_atom_site_fract_x
_atom_site_fract_y
_atom_site_fract_z
Tl1 Tl 0.0000 0.0000 0.0000
Tl2 Tl 0.4018 0.2068 0.2314
In1 In 0.1453 0.6997 0.5720
In2 In 0.6099 0.7676 0.7849
H1 H 0.3699 0.2558 0.6283
H2 H 0.6089 0.8255 0.0550
H3 H 0.7597 0.4867 0.3691
H4 H 0.8275 0.3401 0.4817
# Energy above the most stable polymorph in this dataset   75.9 meV/atom

# 4
# TlInH2 (PBE, optimized geometry)
data_TlInH2
_chemical_formula_sum 'Tl2 In2 H4'
_cell_length_a 5.0995
_cell_length_b 5.3050
_cell_length_c 7.0604
_cell_angle_alpha 111.65
_cell_angle_beta 90.02
_cell_angle_gamma 118.72
_space_group_name_H-M_alt 'P 1'
_space_group_IT_number 1
_space_group_name_Hall 'P 1'
loop_
_atom_site_label
_atom_site_type_symbol
_atom_site_fract_x
_atom_site_fract_y
_atom_site_fract_z
Tl1 Tl 0.0000 0.0000 0.0000
Tl2 Tl 0.4342 0.8689 0.3016
In1 In 0.2570 0.5141 0.6482
In2 In 0.8082 0.6171 0.4537
H1 H 0.0489 0.0992 0.6458
H2 H 0.3577 0.7181 0.9478
H3 H 0.6169 0.2341 0.8245
H4 H 0.6548 0.3104 0.9435
# Energy above the most stable polymorph in this dataset   78.1 meV/atom

# 5
# TlIn2H2 (PBE, optimized geometry)
data_TlIn2H2
_chemical_formula_sum 'Tl2 In4 H4'
_cell_length_a 3.6833
_cell_length_b 3.6833
_cell_length_c 14.1208
_cell_angle_alpha 90.00
_cell_angle_beta 90.00
_cell_angle_gamma 90.00
_space_group_name_H-M_alt 'I 4/m m m'
_space_group_IT_number 139
_space_group_name_Hall '-I 4 2'
loop_
_atom_site_label
_atom_site_type_symbol
_atom_site_fract_x
_atom_site_fract_y
_atom_site_fract_z
Tl1 Tl 0.0000 0.0000 0.0000
In1 In 0.0000 0.0000 0.3433
H1 H 0.0000 0.5000 0.2500
# Energy above the most stable polymorph in this dataset   3.0 meV/atom

# 6
# TlIn2H2 (PBE, optimized geometry)
data_TlIn2H2
_chemical_formula_sum 'Tl1 In2 H2'
_cell_length_a 3.2159
_cell_length_b 3.6086
_cell_length_c 8.6704
_cell_angle_alpha 81.54
_cell_angle_beta 79.77
_cell_angle_gamma 83.07
_space_group_name_H-M_alt 'P 1'
_space_group_IT_number 1
_space_group_name_Hall 'P 1'
loop_
_atom_site_label
_atom_site_type_symbol
_atom_site_fract_x
_atom_site_fract_y
_atom_site_fract_z
Tl1 Tl 0.0000 0.0000 0.0000
In1 In 0.3017 0.2835 0.3655
In2 In 0.6834 0.7130 0.6347
H1 H 0.3502 0.8110 0.2550
H2 H 0.6347 0.1851 0.7452
# Energy above the most stable polymorph in this dataset   0.0 meV/atom

# 7
# TlInH2 (PBE, optimized geometry)
data_TlInH2
_chemical_formula_sum 'Tl2 In2 H4'
_cell_length_a 5.4278
_cell_length_b 5.4382
_cell_length_c 6.5869
_cell_angle_alpha 87.36
_cell_angle_beta 66.01
_cell_angle_gamma 60.59
_space_group_name_H-M_alt 'P 1'
_space_group_IT_number 1
_space_group_name_Hall 'P 1'
loop_
_atom_site_label
_atom_site_type_symbol
_atom_site_fract_x
_atom_site_fract_y
_atom_site_fract_z
Tl1 Tl 0.0000 0.0000 0.0000
Tl2 Tl 0.4388 0.7167 0.3855
In1 In 0.6778 0.0836 0.5450
In2 In 0.7603 0.6331 0.8406
H1 H 0.1570 0.4386 0.2178
H2 H 0.2228 0.3619 0.7143
H3 H 0.2692 0.2785 0.1695
H4 H 0.7473 0.3549 0.6715
# Energy above the most stable polymorph in this dataset   62.9 meV/atom

# 8
# Tl3InH (PBE, optimized geometry)
data_Tl3InH
_chemical_formula_sum 'Tl3 In1 H1'
_cell_length_a 5.0023
_cell_length_b 5.0023
_cell_length_c 5.0023
_cell_angle_alpha 90.00
_cell_angle_beta 90.00
_cell_angle_gamma 90.00
_space_group_name_H-M_alt 'P m -3 m'
_space_group_IT_number 221
_space_group_name_Hall '-P 4 2 3'
loop_
_atom_site_label
_atom_site_type_symbol
_atom_site_fract_x
_atom_site_fract_y
_atom_site_fract_z
Tl1 Tl 0.0000 0.0000 0.5000
In1 In 0.5000 0.5000 0.5000
H1 H 0.0000 0.0000 0.0000
# Energy above the most stable polymorph in this dataset   28.4 meV/atom

# 9
# TlIn2H6 (PBE, optimized geometry)
data_TlIn2H6
_chemical_formula_sum 'Tl1 In2 H6'
_cell_length_a 5.5657
_cell_length_b 5.5657
_cell_length_c 7.0295
_cell_angle_alpha 90.00
_cell_angle_beta 90.00
_cell_angle_gamma 120.00
_space_group_name_H-M_alt 'P 6/m m m'
_space_group_IT_number 191
_space_group_name_Hall '-P 6 2'
loop_
_atom_site_label
_atom_site_type_symbol
_atom_site_fract_x
_atom_site_fract_y
_atom_site_fract_z
Tl1 Tl 0.0000 0.0000 0.0000
In1 In 0.3333 0.6667 0.0000
H1 H 0.0000 0.4327 0.5000
# Total DFT energy (no corrections)   -2.94 eV/atom

# 10
# TlInH2 (PBE, optimized geometry)
data_TlInH2
_chemical_formula_sum 'Tl4 In4 H8'
_cell_length_a 4.9091
_cell_length_b 4.9091
_cell_length_c 12.1628
_cell_angle_alpha 90.00
_cell_angle_beta 90.00
_cell_angle_gamma 90.00
_space_group_name_H-M_alt 'I -4 2 d'
_space_group_IT_number 122
_space_group_name_Hall 'I -4 2bw'
loop_
_atom_site_label
_atom_site_type_symbol
_atom_site_fract_x
_atom_site_fract_y
_atom_site_fract_z
Tl1 Tl 0.0000 0.0000 0.0000
In1 In 0.0000 0.0000 0.5000
H1 H 0.0474 0.2500 0.6250
# Energy above the most stable polymorph in this dataset   219.1 meV/atom

# 11
# Tl3InH4 (PBE, optimized geometry)
data_Tl3InH4
_chemical_formula_sum 'Tl6 In2 H8'
_cell_length_a 3.5868
_cell_length_b 6.0895
_cell_length_c 13.0226
_cell_angle_alpha 90.00
_cell_angle_beta 90.00
_cell_angle_gamma 90.00
_space_group_name_H-M_alt 'I m m m'
_space_group_IT_number 71
_space_group_name_Hall '-I 2 2'
loop_
_atom_site_label
_atom_site_type_symbol
_atom_site_fract_x
_atom_site_fract_y
_atom_site_fract_z
Tl1 Tl 0.0000 0.0000 0.0000
Tl2 Tl 0.0000 0.5000 0.2528
In1 In 0.0000 0.0000 0.5000
H1 H 0.0000 0.2243 0.3967
# Total DFT energy (no corrections)   -2.57 eV/atom

# 12
# Tl3InH (PBE, optimized geometry)
data_Tl3InH
_chemical_formula_sum 'Tl12 In4 H4'
_cell_length_a 17.5514
_cell_length_b 3.4205
_cell_length_c 8.6434
_cell_angle_alpha 90.00
_cell_angle_beta 96.48
_cell_angle_gamma 90.00
_space_group_name_H-M_alt 'C 1 2/m 1'
_space_group_IT_number 12
_space_group_name_Hall '-C 2y'
loop_
_atom_site_label
_atom_site_type_symbol
_atom_site_fract_x
_atom_site_fract_y
_atom_site_fract_z
Tl1 Tl 0.0189 0.0000 0.2235
Tl2 Tl 0.1569 0.5000 0.9577
Tl3 Tl 0.2185 0.0000 0.3271
In1 In 0.0976 0.5000 0.5541
H1 H 0.0762 0.0000 0.0033
# Energy above the most stable polymorph in this dataset   0.0 meV/atom